<P>
Material: Li2TaI
Method: DFT, PBE
State: relaxed

magnetization = 2.40 μB per formula unit

Lattice parameters (Å, degrees): 4.8342 4.8342 4.8342 60.00 60.00 60.00
With the nearest neighbours (Å) after each atom.
Positions (direct):
Li (0.2500, 0.2500, 0.2500)  4 Ta 2.96, 4 I 2.96
Li (0.7500, 0.7500, 0.7500)  4 Ta 2.96, 4 I 2.96
Ta (0.0000, 0.0000, 0.0000)  8 Li 2.96
I (0.5000, 0.5000, 0.5000)  8 Li 2.96

=====

<Q>
Material: Li2TaI
Method: DFT, PBE
State: relaxed

magnetization = 0.00 μB per formula unit

Lattice parameters (Å, degrees): 6.0772 6.0772 6.0772 101.58 101.58 126.75
With the nearest neighbours (Å) after each atom.
Positions (direct):
Li (0.1000, 0.1250, 0.4750)  2 I 2.67, 2 Li 2.75, 2 Ta 2.94
Li (0.3750, 0.9000, 0.0250)  2 I 2.67, 2 Li 2.75, 2 Ta 2.94
Li (0.6500, 0.6250, 0.5250)  2 I 2.67, 2 Li 2.75, 2 Ta 2.94
Li (0.8750, 0.3500, 0.9750)  2 I 2.67, 2 Li 2.75, 2 Ta 2.94
Ta (0.2500, 0.7500, 0.5000)  2 I 2.72, 4 Li 2.94
Ta (0.5000, 0.5000, 0.0000)  2 I 2.72, 4 Li 2.94
I (0.0000, 0.0000, 0.0000)  4 Li 2.67, 2 Ta 2.72
I (0.7500, 0.2500, 0.5000)  4 Li 2.67, 2 Ta 2.72

=====

Most stable structure: <Q>

=====

<P>
Material: LiTaTe2I
Method: DFT, PBE
State: relaxed

magnetization = 0.73 μB per formula unit

Lattice parameters (Å, degrees): 5.4175 5.4175 5.9369 90.00 90.00 90.00
With the nearest neighbours (Å) after each atom.
Positions (direct):
Li (0.0000, 0.0000, 0.0000)  4 I 3.83, 8 Te 4.02
Ta (0.5000, 0.5000, 0.5000)  4 Te 2.71, 2 I 2.97
Te (0.0000, 0.5000, 0.5000)  2 Ta 2.71
Te (0.5000, 0.0000, 0.5000)  2 Ta 2.71
I (0.5000, 0.5000, 0.0000)  2 Ta 2.97

=====

<Q>
Material: LiTaTe2I
Method: DFT, PBE
State: relaxed

magnetization = 2.20 μB per formula unit

Lattice parameters (Å, degrees): 4.9717 4.9717 5.2598 90.00 90.00 90.00
With the nearest neighbours (Å) after each atom.
Positions (direct):
Li (0.0000, 0.0000, 0.0000)  4 Te 2.49, 2 I 2.63
Ta (0.5000, 0.5000, 0.5000)  4 I 3.52, 8 Te 3.62
Te (0.0000, 0.5000, 0.0000)  2 Li 2.49
Te (0.5000, 0.0000, 0.0000)  2 Li 2.49
I (0.0000, 0.0000, 0.5000)  2 Li 2.63

=====

Most stable structure: <P>

=====

<P>
Material: LiTaTeI2
Method: DFT, PBE
State: relaxed

magnetization = 1.85 μB per formula unit

Lattice parameters (Å, degrees): 5.8325 5.8325 5.3919 90.00 90.00 90.00
With the nearest neighbours (Å) after each atom.
Positions (direct):
Li (0.0000, 0.0000, 0.0000)  8 I 3.97, 4 Te 4.12
Ta (0.5000, 0.5000, 0.5000)  2 Te 2.70, 4 I 2.92
Te (0.5000, 0.5000, 0.0000)  2 Ta 2.70
I (0.0000, 0.5000, 0.5000)  2 Ta 2.92
I (0.5000, 0.0000, 0.5000)  2 Ta 2.92

=====

<Q>
Material: LiTaTeI2
Method: DFT, PBE
State: relaxed

magnetization = 4.12 μB per formula unit

Lattice parameters (Å, degrees): 6.2832 6.2832 4.8748 90.00 90.00 90.00
With the nearest neighbours (Å) after each atom.
Positions (direct):
Li (0.0000, 0.0000, 0.0000)  2 Te 2.44
Ta (0.5000, 0.5000, 0.0000)  8 I 3.98, 4 Li 4.44
Te (0.0000, 0.0000, 0.5000)  2 Li 2.44
I (0.0000, 0.5000, 0.5000)  2 Te 3.14
I (0.5000, 0.0000, 0.5000)  2 Te 3.14

=====

Most stable structure: <P>